Density functional theory data (PBE with a Hubbard U) for a relaxed Na2Te4MoO12 crystal.

Results
VASP energy in eV per cell: -214.1

Cell lengths 9.1960, 9.1960, 11.5607 Å; angles 75.36, 75.36, 37.95 degrees
Closest atoms and distances in Å follow each position.
Fractional positions:
Na 0.5739 0.0093 0.2590  5 O 2.35-2.60
Na 0.9907 0.4261 0.2410  5 O 2.35-2.60
Na 0.4261 0.9907 0.7410  5 O 2.35-2.60
Na 0.0093 0.5739 0.7590  5 O 2.35-2.60
Te 0.3243 0.8643 0.4036  3 O 1.87-1.98
Te 0.1357 0.6757 0.0964  3 O 1.87-1.98
Te 0.6757 0.1357 0.5964  3 O 1.87-1.98
Te 0.8643 0.3243 0.9036  3 O 1.87-1.98
Te 0.4881 0.8254 0.0679  3 O 1.90-2.07
Te 0.1746 0.5119 0.4321  3 O 1.90-2.07
Te 0.5119 0.1746 0.9321  3 O 1.90-2.07
Te 0.8254 0.4881 0.5679  3 O 1.90-2.07
Mo 0.6678 0.3322 0.2500  4 O 1.78-1.98
Mo 0.3322 0.6678 0.7500  4 O 1.78-1.98
O 0.4959 0.2795 0.3379  1 Mo 1.98, 1 Te 2.02
O 0.7205 0.5041 0.1621  1 Mo 1.98, 1 Te 2.02
O 0.5041 0.7205 0.6621  1 Mo 1.98, 1 Te 2.02
O 0.2795 0.4959 0.8379  1 Mo 1.98, 1 Te 2.02
O 0.6854 0.8369 0.0687  1 Te 1.90
O 0.1631 0.3146 0.4313  1 Te 1.90
O 0.3146 0.1631 0.9313  1 Te 1.90
O 0.8369 0.6854 0.5687  1 Te 1.90
O 0.6531 0.6722 0.4121  2 Te 1.98-2.07
O 0.3278 0.3469 0.0879  2 Te 1.98-2.07
O 0.3469 0.3278 0.5879  2 Te 1.98-2.07
O 0.6722 0.6531 0.9121  2 Te 1.98-2.07
O 0.3221 0.9980 0.2481  1 Te 1.90
O 0.0020 0.6779 0.2519  1 Te 1.90
O 0.6779 0.0020 0.7519  1 Te 1.90
O 0.9980 0.3221 0.7481  1 Te 1.90
O 0.3951 0.6261 0.3655  1 Te 1.87
O 0.3739 0.6049 0.1345  1 Te 1.87
O 0.6049 0.3739 0.6345  1 Te 1.87
O 0.6261 0.3951 0.8655  1 Te 1.87
O 0.8299 0.1226 0.1448  1 Mo 1.78
O 0.8774 0.1701 0.3552  1 Mo 1.78
O 0.1701 0.8774 0.8552  1 Mo 1.78
O 0.1226 0.8299 0.6448  1 Mo 1.78